KCr2Fe: relaxed, GGA-PBE.

Cell and atoms, written as extended XYZ:
```
4
Lattice="-2.026 0.745 -2.036 -1.760 -2.192 0.949 -3.573 5.237 5.471" Properties=species:S:1:pos:R:3 pbc="T T T"
K -4.548 3.168 3.522
Cr -0.332 0.486 0.508
Cr -2.805 0.613 0.853
Fe -1.461 2.141 2.237
```

As for the space group: P4mm, No. 99. Its total energy is -6.4283 eV per atom. Its energy of formation is 0.773 eV/atom. As for the energy above the lowest structure with this stoichiometry: 0.000 eV per atom.